[1]
Material: KHg5Sb2
Method: DFT, PBE
State: optimized geometry

a b c (Å): 5.956 6.187 8.500
angles (deg): 99.72 113.25 75.28
Atoms (fractional coordinates):
1 Hg 0.905 0.319 0.694
2 Hg 0.000 0.000 0.000
3 Hg 0.401 0.864 0.681
4 Hg 0.095 0.681 0.306
5 K 0.500 0.500 0.000
6 Hg 0.599 0.136 0.319
7 Sb 0.094 0.202 0.329
8 Sb 0.906 0.798 0.671

**Formation energy (no corrections)**: -2.6 kJ/mol of atoms
**Volume**: 34.69 Å³/atom

---

[2]
Material: K2Hg6Sb
Method: DFT, PBE
State: optimized geometry

a b c (Å): 6.546 6.933 6.936
angles (deg): 119.99 89.98 90.00
Atoms (fractional coordinates):
1 Hg 0.337 0.364 0.182
2 Hg 0.663 0.636 0.818
3 Hg 0.663 0.182 0.364
4 Sb 0.000 0.000 0.000
5 Hg 0.337 0.818 0.182
6 Hg 0.663 0.182 0.818
7 Hg 0.337 0.818 0.636
8 K 0.162 0.333 0.667
9 K 0.838 0.667 0.333

**Formation energy (no corrections)**: -20.9 kJ/mol of atoms
**Volume**: 30.30 Å³/atom

---

[3]
Material: K3HgSb
Method: DFT, PBE
State: optimized geometry

a b c (Å): 8.744 8.744 8.744
angles (deg): 102.66 110.64 115.37
Atoms (fractional coordinates):
1 K 0.488 0.241 0.360
2 K 0.881 0.741 0.253
3 K 0.918 0.268 0.150
4 K 0.117 0.768 0.850
5 K 0.488 0.628 0.747
6 Hg 0.411 0.619 0.292
7 K 0.881 0.128 0.640
8 Hg 0.327 0.119 0.708
9 Sb 0.732 0.403 0.829
10 Sb 0.574 0.903 0.171

**Formation energy (no corrections)**: -27.2 kJ/mol of atoms
**Volume**: 50.83 Å³/atom

---

[4]
Material: KHg2Sb
Method: DFT, PBE
State: optimized geometry

a b c (Å): 8.141 8.141 4.215
angles (deg): 75.00 75.00 30.62
Atoms (fractional coordinates):
1 Hg 0.743 0.743 0.758
2 Sb 0.244 0.244 0.256
3 Hg 0.069 0.069 0.931
4 K 0.444 0.444 0.555

**Formation energy (no corrections)**: -13.6 kJ/mol of atoms
**Volume**: 34.27 Å³/atom

---

[5]
Material: K2HgSb2
Method: DFT, PBE
State: optimized geometry

a b c (Å): 5.350 6.662 10.969
angles (deg): 84.25 75.89 66.33
Atoms (fractional coordinates):
1 Sb 0.090 0.273 0.547
2 Hg 0.629 0.089 0.652
3 K 0.682 0.320 0.316
4 Hg 0.371 0.911 0.348
5 Sb 0.910 0.727 0.453
6 Sb 0.625 0.858 0.892
7 K 0.079 0.734 0.107
8 K 0.921 0.266 0.893
9 Sb 0.375 0.142 0.108
10 K 0.318 0.680 0.684

**Formation energy (no corrections)**: -34.8 kJ/mol of atoms
**Volume**: 34.72 Å³/atom

---

[6]
Material: KHgSb2
Method: DFT, PBE
State: optimized geometry

a b c (Å): 3.164 3.164 12.451
angles (deg): 90.00 90.00 90.03
Atoms (fractional coordinates):
1 Hg 0.500 0.500 0.250
2 Sb 0.000 0.000 0.517
3 K 0.500 0.500 0.750
4 Sb 0.000 0.000 0.983

**Formation energy (no corrections)**: 4.6 kJ/mol of atoms
**Volume**: 31.16 Å³/atom

---

[7]
Material: KHgSb
Method: DFT, PBE
State: optimized geometry

a b c (Å): 9.578 8.852 7.491
angles (deg): 71.20 61.04 47.76
Atoms (fractional coordinates):
1 K 0.244 0.992 0.579
2 Hg 0.988 0.468 0.792
3 Sb 0.734 0.606 0.232
4 K 0.258 0.006 0.065
5 K 0.185 0.579 0.992
6 Hg 0.782 0.262 0.498
7 Hg 0.752 0.792 0.468
8 Sb 0.018 0.822 0.516
9 Sb 0.428 0.232 0.606
10 K 0.671 0.065 0.006
11 Hg 0.458 0.498 0.262
12 Sb 0.644 0.516 0.822

**Formation energy (no corrections)**: -23.5 kJ/mol of atoms
**Volume**: 34.28 Å³/atom

---

[8]
Material: KHgSb2
Method: DFT, PBE
State: optimized geometry

a b c (Å): 5.751 5.751 5.751
angles (deg): 126.10 126.10 79.72
Atoms (fractional coordinates):
1 Sb 0.250 0.750 0.500
2 Hg 0.500 0.500 0.000
3 Sb 0.000 0.000 0.000
4 K 0.750 0.250 0.500

**Formation energy (no corrections)**: -1.8 kJ/mol of atoms
**Volume**: 29.99 Å³/atom

---

[9]
Material: KHg2Sb4
Method: DFT, PBE
State: optimized geometry

a b c (Å): 5.804 5.804 9.095
angles (deg): 71.39 71.39 90.00
Atoms (fractional coordinates):
1 Sb 0.243 0.243 0.514
2 Sb 0.000 0.500 0.000
3 Sb 0.757 0.757 0.486
4 K 0.000 0.000 0.000
5 Hg 0.589 0.589 0.821
6 Sb 0.500 0.000 0.000
7 Hg 0.411 0.411 0.179

**Formation energy (no corrections)**: 71.6 kJ/mol of atoms
**Volume**: 39.06 Å³/atom

---

[10]
Material: KHg2Sb
Method: DFT, PBE
State: optimized geometry

a b c (Å): 10.531 10.531 10.531
angles (deg): 20.38 20.38 20.38
Atoms (fractional coordinates):
1 Hg 0.999 0.999 0.999
2 Sb 0.742 0.742 0.742
3 K 0.502 0.502 0.502
4 Hg 0.257 0.257 0.257

**Formation energy (no corrections)**: 1.9 kJ/mol of atoms
**Volume**: 31.00 Å³/atom

---

[11]
Material: K3Hg12Sb5
Method: DFT, PBE
State: optimized geometry

a b c (Å): 16.046 16.046 16.046
angles (deg): 109.47 109.47 109.47
Atoms (fractional coordinates):
1 Hg 0.946 0.809 0.505
2 K 0.625 0.375 0.750
3 K 0.125 0.875 0.750
4 Hg 0.495 0.804 0.941
5 Hg 0.446 0.441 0.637
6 K 0.875 0.125 0.250
7 Sb 0.250 0.875 0.125
8 Sb 0.000 0.000 0.500
9 Hg 0.059 0.696 0.505
10 Hg 0.554 0.995 0.691
11 Sb 0.000 0.500 0.500
12 Hg 0.005 0.446 0.809
13 Hg 0.946 0.137 0.941
14 Hg 0.495 0.691 0.054
15 Hg 0.505 0.309 0.946
16 Hg 0.863 0.809 0.804
17 Sb 0.375 0.125 0.750
18 Hg 0.809 0.946 0.005
19 Hg 0.059 0.363 0.054
20 Hg 0.863 0.054 0.559
21 Hg 0.005 0.559 0.696
22 Hg 0.363 0.059 0.554
23 Hg 0.191 0.054 0.995
24 Sb 0.500 0.500 0.500
25 K 0.750 0.375 0.125
26 Sb 0.875 0.250 0.625
27 Hg 0.554 0.559 0.363
28 Sb 0.250 0.375 0.625
29 Hg 0.441 0.995 0.804
30 Sb 0.125 0.750 0.375
31 Hg 0.304 0.363 0.809
32 Hg 0.505 0.196 0.059
33 Sb 0.500 0.500 0.000
34 Sb 0.500 0.000 0.500
35 Hg 0.559 0.005 0.196
36 Hg 0.941 0.304 0.495
37 Hg 0.191 0.137 0.696
38 Sb 0.625 0.875 0.250
39 Hg 0.441 0.446 0.137
40 Sb 0.875 0.625 0.750
41 Hg 0.054 0.191 0.495
42 Hg 0.363 0.304 0.309
43 Hg 0.304 0.941 0.995
44 Hg 0.637 0.941 0.446
45 K 0.375 0.625 0.250
46 Hg 0.559 0.554 0.863
47 Hg 0.995 0.554 0.191
48 K 0.625 0.250 0.375
49 Sb 0.375 0.250 0.125
50 Hg 0.309 0.505 0.446
51 Sb 0.000 0.500 0.000
52 Hg 0.196 0.691 0.137
53 Hg 0.696 0.059 0.005
54 K 0.250 0.125 0.375
55 Hg 0.804 0.495 0.441
56 Hg 0.691 0.495 0.554
57 K 0.875 0.750 0.125
58 Hg 0.637 0.696 0.691
59 Hg 0.804 0.309 0.863
60 Hg 0.691 0.196 0.637
61 Hg 0.137 0.191 0.196
62 K 0.750 0.875 0.625
63 Sb 0.125 0.375 0.250
64 Sb 0.625 0.750 0.875
65 Hg 0.941 0.637 0.946
66 Hg 0.809 0.863 0.304
67 Sb 0.500 0.000 0.000
68 Sb 0.750 0.125 0.875
69 K 0.375 0.750 0.625
70 Hg 0.995 0.441 0.304
71 Hg 0.196 0.505 0.559
72 K 0.125 0.250 0.875
73 Hg 0.054 0.863 0.059
74 Hg 0.446 0.005 0.309
75 Hg 0.696 0.637 0.191
76 K 0.250 0.625 0.875
77 Sb 0.000 0.000 0.000
78 Sb 0.750 0.625 0.375
79 Hg 0.137 0.946 0.441
80 Hg 0.309 0.804 0.363

**Formation energy (no corrections)**: 2.3 kJ/mol of atoms
**Volume**: 39.76 Å³/atom

---

[12]
Material: K3Hg7Sb2
Method: DFT, PBE
State: optimized geometry

a b c (Å): 4.762 6.345 21.084
angles (deg): 140.40 90.00 90.00
Atoms (fractional coordinates):
1 Hg 0.000 0.000 0.000
2 Hg 0.000 0.757 0.198
3 Hg 0.500 0.779 0.726
4 Hg 0.000 0.243 0.802
5 Hg 0.000 0.616 0.437
6 K 0.500 0.045 0.630
7 Hg 0.500 0.221 0.274
8 Hg 0.000 0.384 0.563
9 K 0.500 0.500 0.000
10 K 0.500 0.955 0.370
11 Sb 0.000 0.224 0.180
12 Sb 0.000 0.776 0.820

**Formation energy (no corrections)**: -16.0 kJ/mol of atoms
**Volume**: 33.84 Å³/atom

---

[13]
Material: KHgSb2
Method: DFT, PBE
State: optimized geometry

a b c (Å): 5.277 5.277 11.098
angles (deg): 76.25 76.25 90.00
Atoms (fractional coordinates):
1 Hg 0.750 0.250 0.500
2 Sb 0.375 0.268 0.750
3 Sb 0.875 0.982 0.750
4 Hg 0.000 0.000 0.000
5 Sb 0.018 0.625 0.250
6 K 0.500 0.500 0.000
7 Sb 0.732 0.125 0.250
8 K 0.250 0.750 0.500

**Formation energy (no corrections)**: -7.4 kJ/mol of atoms
**Volume**: 36.38 Å³/atom

---

[14]
Material: K3Hg4Sb
Method: DFT, PBE
State: optimized geometry

a b c (Å): 5.489 7.732 8.806
angles (deg): 116.04 108.16 90.00
Atoms (fractional coordinates):
1 Hg 0.371 0.174 0.742
2 Hg 0.371 0.567 0.742
3 K 0.159 0.159 0.318
4 Hg 0.629 0.826 0.258
5 Sb 0.500 0.000 0.000
6 K 0.000 0.500 0.000
7 Hg 0.629 0.433 0.258
8 K 0.841 0.841 0.682

**Formation energy (no corrections)**: -19.8 kJ/mol of atoms
**Volume**: 39.37 Å³/atom

---

[15]
Material: KHg4Sb
Method: DFT, PBE
State: optimized geometry

a b c (Å): 6.108 5.433 11.192
angles (deg): 90.09 91.33 88.44
Atoms (fractional coordinates):
1 Hg 0.005 0.250 0.056
2 Hg 0.523 0.250 0.905
3 K 0.981 0.750 0.268
4 Hg 0.751 0.758 0.562
5 Hg 0.745 0.258 0.443
6 K 0.019 0.250 0.732
7 Hg 0.249 0.242 0.438
8 Sb 0.509 0.750 0.805
9 Sb 0.491 0.250 0.195
10 Hg 0.477 0.750 0.095
11 Hg 0.255 0.742 0.557
12 Hg 0.995 0.750 0.944

**Formation energy (no corrections)**: -12.5 kJ/mol of atoms
**Volume**: 30.93 Å³/atom

---

[16]
Material: K3Hg3Sb2
Method: DFT, PBE
State: optimized geometry

a b c (Å): 6.902 9.539 17.356
angles (deg): 90.00 90.00 90.00
Atoms (fractional coordinates):
1 Sb 0.860 0.121 0.100
2 Sb 0.640 0.621 0.100
3 K 0.127 0.465 0.103
4 Hg 0.903 0.827 0.037
5 K 0.627 0.035 0.603
6 K 0.627 0.035 0.897
7 K 0.857 0.844 0.250
8 Hg 0.836 0.809 0.750
9 Hg 0.597 0.327 0.463
10 K 0.873 0.535 0.897
11 K 0.127 0.465 0.397
12 Sb 0.360 0.379 0.600
13 K 0.143 0.156 0.750
14 K 0.643 0.344 0.250
15 K 0.373 0.965 0.397
16 K 0.873 0.535 0.603
17 Hg 0.097 0.173 0.963
18 Hg 0.403 0.673 0.537
19 Sb 0.860 0.121 0.400
20 Sb 0.140 0.879 0.600
21 K 0.357 0.656 0.750
22 Sb 0.140 0.879 0.900
23 K 0.373 0.965 0.103
24 Sb 0.360 0.379 0.900
25 Hg 0.403 0.673 0.963
26 Hg 0.164 0.191 0.250
27 Hg 0.336 0.691 0.250
28 Hg 0.664 0.309 0.750
29 Sb 0.640 0.621 0.400
30 Hg 0.597 0.327 0.037
31 Hg 0.097 0.173 0.537
32 Hg 0.903 0.827 0.463

**Formation energy (no corrections)**: -28.7 kJ/mol of atoms
**Volume**: 35.71 Å³/atom

---

[17]
Material: KHgSb
Method: DFT, PBE
State: optimized geometry

a b c (Å): 5.751 5.751 3.179
angles (deg): 90.00 90.00 120.00
Atoms (fractional coordinates):
1 Sb 0.333 0.667 0.833
2 Hg 0.000 0.000 0.834
3 K 0.667 0.333 0.333

**Formation energy (no corrections)**: -19.2 kJ/mol of atoms
**Volume**: 30.36 Å³/atom

---

[18]
Material: KHgSb2
Method: DFT, PBE
State: optimized geometry

a b c (Å): 6.887 6.887 3.207
angles (deg): 89.57 89.57 125.38
Atoms (fractional coordinates):
1 Sb 0.500 0.500 0.000
2 Hg 0.500 0.000 0.500
3 Sb 0.000 0.000 0.000
4 K 0.000 0.500 0.500

**Formation energy (no corrections)**: -2.5 kJ/mol of atoms
**Volume**: 31.00 Å³/atom

---

[19]
Material: KHg2Sb
Method: DFT, PBE
State: optimized geometry

a b c (Å): 10.694 10.694 10.694
angles (deg): 19.77 19.77 19.77
Atoms (fractional coordinates):
1 K 0.250 0.250 0.250
2 Hg 0.003 0.003 0.003
3 Sb 0.750 0.750 0.750
4 Hg 0.497 0.497 0.497

**Formation energy (no corrections)**: 0.8 kJ/mol of atoms
**Volume**: 30.60 Å³/atom

---

[20]
Material: KHg2Sb
Method: DFT, PBE
State: optimized geometry

a b c (Å): 5.499 5.499 5.499
angles (deg): 60.00 60.00 60.00
Atoms (fractional coordinates):
1 Hg 0.000 0.000 0.000
2 Sb 0.750 0.750 0.750
3 K 0.500 0.500 0.500
4 Hg 0.250 0.250 0.250

**Formation energy (no corrections)**: -7.2 kJ/mol of atoms
**Volume**: 29.40 Å³/atom

---

no.,spin magnetization (μB/atom)
1,0.00
2,0.00
3,0.00
4,0.00
5,0.00
6,0.00
7,0.00
8,0.00
9,0.00
10,0.00
11,0.00
12,0.00
13,0.00
14,0.00
15,0.00
16,0.00
17,0.00
18,0.00
19,0.00
20,0.00